(1)
## LiTm2NpTe4 (PBE)

Data for a relaxed LiTm2NpTe4 crystal.

Cell lengths 4.3050, 7.5200, 7.5135 Å; angles 109.38, 90.00, 90.00 degrees
Fractional coordinates of all 8 atoms:
Te 0.5000 0.2426 0.2500
Te 0.0000 0.2418 0.7470
Te 0.0000 0.7582 0.2530
Te 0.5000 0.7574 0.7500
Li 0.0000 0.0000 0.0000
Tm 0.5000 0.0000 0.5000
Tm 0.0000 0.5000 0.5000
Np 0.5000 0.5000 0.0000

Computed properties:
Energy ... -44.85 eV/f.u.
Total magnetization ... 4.8 μB per formula unit

(2)
## ScAgOs2 (PBE)

Data for a relaxed ScAgOs2 crystal.

Cell lengths 5.1292, 5.1292, 5.1292 Å; angles 135.48, 135.48, 64.79 degrees
Fractional coordinates of all 4 atoms:
Os 0.0000 0.0000 0.0000
Os 0.5000 0.5000 0.0000
Ag 0.7500 0.2500 0.5000
Sc 0.2500 0.7500 0.5000

Computed properties:
Total magnetization ... 0.0 μB per formula unit
Energy above the most stable polymorph in this dataset ... 0.250 eV per atom
Formation enthalpy at 0 K ... 324 meV per atom

(3)
## NaLiSbI2 (PBE)

Data for a relaxed NaLiSbI2 crystal.

Cell lengths 6.0917, 6.0917, 5.9987 Å; angles 90.00, 90.00, 90.00 degrees
Fractional coordinates of all 5 atoms:
I 0.0000 0.5000 0.0000
I 0.5000 0.0000 0.0000
Na 0.0000 0.0000 0.0000
Sb 0.0000 0.0000 0.5000
Li 0.5000 0.5000 0.5000

Computed properties:
Total magnetization ... 3.0 μB per formula unit
Energy above the most stable polymorph in this dataset ... 0.244 eV per atom

(4)
## TbAl4Cu2Os (PBE)

Data for a relaxed TbAl4Cu2Os crystal.

Cell lengths 4.1741, 4.1741, 9.3065 Å; angles 77.04, 77.04, 60.00 degrees
Fractional coordinates of all 8 atoms:
Al 0.5954 0.5954 0.2138
Al 0.1334 0.1334 0.5999
Al 0.8666 0.8666 0.4001
Al 0.4046 0.4046 0.7862
Os 0.5000 0.5000 0.5000
Tb 0.0000 0.0000 0.0000
Cu 0.2325 0.2325 0.3025
Cu 0.7675 0.7675 0.6975

Computed properties:
Total magnetization ... 0.0 μB per formula unit
Formation enthalpy at 0 K ... -308 meV per atom

Repeat the first record exactly.
## LiTm2NpTe4 (PBE)

Data for a relaxed LiTm2NpTe4 crystal.

Cell lengths 4.3050, 7.5200, 7.5135 Å; angles 109.38, 90.00, 90.00 degrees
Fractional coordinates of all 8 atoms:
Te 0.5000 0.2426 0.2500
Te 0.0000 0.2418 0.7470
Te 0.0000 0.7582 0.2530
Te 0.5000 0.7574 0.7500
Li 0.0000 0.0000 0.0000
Tm 0.5000 0.0000 0.5000
Tm 0.0000 0.5000 0.5000
Np 0.5000 0.5000 0.0000

Computed properties:
Energy ... -44.85 eV/f.u.
Total magnetization ... 4.8 μB per formula unit

Q: The highest total magnetization belongs to which entry?
A: LiTm2NpTe4